1.
The following is a DFT calculation (PBE) of a relaxed structure of LiErPO.

Unit cell a=3.441 b=7.481 c=5.632 alpha=90.00 beta=90.00 gamma=90.00
Atoms (fractional coordinates):
Li (0.000, 0.079, 0.000)
Li (0.000, 0.921, 0.500)
Er (0.500, 0.302, 0.373)
Er (0.500, 0.698, 0.873)
P (0.500, 0.326, 0.868)
P (0.500, 0.674, 0.368)
O (0.000, 0.144, 0.339)
O (0.000, 0.856, 0.839)

Output
energy above the lowest structure with this stoichiometry	98	meV/atom
total DFT energy (no corrections)	-5.9210	eV per atom
total magnetic moment	0.0	μB/f.u.
calculated volume	145.0	Å³/cell

2.
The following is a DFT calculation (PBE) of a relaxed structure of CsCdSbTe3.

Unit cell a=8.743 b=8.743 c=11.837 alpha=90.00 beta=90.00 gamma=149.53
Atoms (fractional coordinates):
Cs (0.247, 0.753, 0.750)
Cs (0.753, 0.247, 0.250)
Cd (0.044, 0.956, 0.250)
Cd (0.956, 0.044, 0.750)
Sb (0.500, 0.500, 0.000)
Sb (0.500, 0.500, 0.500)
Te (0.124, 0.876, 0.040)
Te (0.124, 0.876, 0.460)
Te (0.439, 0.561, 0.250)
Te (0.561, 0.439, 0.750)
Te (0.876, 0.124, 0.540)
Te (0.876, 0.124, 0.960)

Output
total DFT energy (no corrections)	-3.0714	eV per atom
calculated volume	458.9	Å³/cell

3.
The following is a DFT calculation (PBE) of a relaxed structure of Sr5UN5.

Unit cell a=6.423 b=6.423 c=7.379 alpha=106.55 beta=106.55 gamma=47.55
Atoms (fractional coordinates):
Sr (0.000, 0.000, 0.000)
Sr (0.326, 0.326, 0.189)
Sr (0.329, 0.329, 0.655)
Sr (0.671, 0.671, 0.345)
Sr (0.674, 0.674, 0.811)
U (0.000, 0.000, 0.500)
N (0.137, 0.137, 0.356)
N (0.137, 0.137, 0.776)
N (0.500, 0.500, 0.500)
N (0.863, 0.863, 0.224)
N (0.863, 0.863, 0.644)

Output
total DFT energy (no corrections)	-6.4523	eV per atom
total magnetic moment	0.1	μB/f.u.
calculated volume	213.5	Å³/cell

4.
The following is a DFT calculation (PBE) of a relaxed structure of TbSiPb.

Unit cell a=6.957 b=6.957 c=6.957 alpha=90.00 beta=90.00 gamma=90.00
Atoms (fractional coordinates):
Tb (0.000, 0.000, 0.000)
Tb (0.000, 0.500, 0.500)
Tb (0.500, 0.000, 0.500)
Tb (0.500, 0.500, 0.000)
Si (0.250, 0.250, 0.750)
Si (0.250, 0.750, 0.250)
Si (0.750, 0.250, 0.250)
Si (0.750, 0.750, 0.750)
Pb (0.000, 0.000, 0.500)
Pb (0.000, 0.500, 0.000)
Pb (0.500, 0.000, 0.000)
Pb (0.500, 0.500, 0.500)

Output
total DFT energy (no corrections)	-4.6506	eV per atom
total magnetic moment	0.0	μB/f.u.
calculated volume	336.8	Å³/cell

5.
The following is a DFT calculation (PBE) of a relaxed structure of Tm4MgSnC2.

Unit cell a=3.533 b=3.533 c=16.297 alpha=90.00 beta=90.00 gamma=120.00
Atoms (fractional coordinates):
Tm (0.000, 0.000, 0.158)
Tm (0.000, 0.000, 0.842)
Tm (0.333, 0.667, 0.320)
Tm (0.333, 0.667, 0.680)
Mg (0.000, 0.000, 0.500)
Sn (0.333, 0.667, 0.000)
C (0.667, 0.333, 0.240)
C (0.667, 0.333, 0.760)

Output
total DFT energy (no corrections)	-5.6556	eV per atom
total magnetic moment	0.0	μB/f.u.
calculated volume	176.2	Å³/cell

6.
The following is a DFT calculation (PBE) of a relaxed structure of NbBW2.

Unit cell a=3.877 b=3.877 c=15.202 alpha=90.00 beta=90.00 gamma=90.00
Atoms (fractional coordinates):
Nb (0.000, 0.000, 0.153)
Nb (0.000, 0.000, 0.847)
Nb (0.500, 0.500, 0.347)
Nb (0.500, 0.500, 0.653)
B (0.000, 0.500, 0.250)
B (0.000, 0.500, 0.750)
B (0.500, 0.000, 0.250)
B (0.500, 0.000, 0.750)
W (0.000, 0.000, 0.347)
W (0.000, 0.000, 0.653)
W (0.000, 0.500, 0.000)
W (0.000, 0.500, 0.500)
W (0.500, 0.000, 0.000)
W (0.500, 0.000, 0.500)
W (0.500, 0.500, 0.153)
W (0.500, 0.500, 0.847)

Output
total DFT energy (no corrections)	-10.4096	eV per atom
total magnetic moment	0.0	μB/f.u.
calculated volume	228.5	Å³/cell